[1]
First-principles (PBE) data for Ho6MgIr5 after structural relaxation, as listed in Alexandria via LeMat-Bulk.

a b c (Å): 4.792 7.122 7.629
angles (deg): 90.00 108.39 90.00
Positions (direct):
Ho: 0.000 0.235 0.000
Ho: 0.000 0.765 0.000
Ho: 0.328 0.246 0.656
Ho: 0.328 0.754 0.656
Ho: 0.672 0.246 0.344
Ho: 0.672 0.754 0.344
Mg: 0.500 0.500 0.000
Ir: 0.157 0.500 0.314
Ir: 0.169 0.000 0.338
Ir: 0.500 0.000 0.000
Ir: 0.831 0.000 0.662
Ir: 0.843 0.500 0.686

Properties
DFT formation energy: -738.2 meV/atom

---

[2]
First-principles (PBE) data for Ho6MgIr after structural relaxation, as listed in Alexandria via LeMat-Bulk.

a b c (Å): 6.734 6.734 6.511
angles (deg): 103.09 103.09 115.99
Positions (direct):
Ho: 0.008 0.404 0.246
Ho: 0.227 0.227 0.774
Ho: 0.404 0.008 0.246
Ho: 0.596 0.992 0.754
Ho: 0.773 0.773 0.226
Ho: 0.992 0.596 0.754
Mg: 0.500 0.500 0.500
Ir: 0.000 0.000 0.000

Properties
DFT formation energy: -51.7 meV/atom

---

[3]
First-principles (PBE) data for HoMgIr after structural relaxation, as listed in Alexandria via LeMat-Bulk.

a b c (Å): 6.192 6.192 6.192
angles (deg): 148.92 148.92 44.52
Positions (direct):
Ho: 0.000 0.000 0.000
Mg: 0.726 0.726 0.000
Ir: 0.358 0.358 0.000

Properties
DFT formation energy: -489.2 meV/atom

---

[4]
First-principles (PBE) data for NdHoMgIr after structural relaxation, as listed in Alexandria via LeMat-Bulk.

a b c (Å): 5.101 5.101 5.101
angles (deg): 60.00 60.00 60.00
Positions (direct):
Nd: 0.000 0.000 0.000
Ho: 0.500 0.500 0.500
Mg: 0.750 0.750 0.750
Ir: 0.250 0.250 0.250

Properties
DFT formation energy: -377.5 meV/atom

---

[5]
First-principles (PBE) data for HoMgNiIr after structural relaxation, as listed in Alexandria via LeMat-Bulk.

a b c (Å): 4.609 4.609 4.609
angles (deg): 60.00 60.00 60.00
Positions (direct):
Ho: 0.000 0.000 0.000
Mg: 0.500 0.500 0.500
Ni: 0.250 0.250 0.250
Ir: 0.750 0.750 0.750

Properties
DFT formation energy: -468.3 meV/atom

---

[6]
First-principles (PBE) data for Ho2MgP3Ir12 after structural relaxation, as listed in Alexandria via LeMat-Bulk.

a b c (Å): 6.708 6.708 6.708
angles (deg): 83.59 83.59 83.59
Positions (direct):
Ho: 0.130 0.130 0.130
Ho: 0.870 0.870 0.870
Mg: 0.500 0.500 0.500
P: 0.000 0.500 0.500
P: 0.500 0.000 0.500
P: 0.500 0.500 0.000
Ir: 0.125 0.125 0.605
Ir: 0.125 0.605 0.125
Ir: 0.172 0.675 0.675
Ir: 0.325 0.325 0.828
Ir: 0.325 0.828 0.325
Ir: 0.395 0.875 0.875
Ir: 0.605 0.125 0.125
Ir: 0.675 0.172 0.675
Ir: 0.675 0.675 0.172
Ir: 0.828 0.325 0.325
Ir: 0.875 0.395 0.875
Ir: 0.875 0.875 0.395

Properties
DFT formation energy: -141.5 meV/atom

---

[7]
First-principles (PBE) data for HoMgIrPt after structural relaxation, as listed in Alexandria via LeMat-Bulk.

a b c (Å): 4.687 4.687 4.687
angles (deg): 60.00 60.00 60.00
Positions (direct):
Ho: 0.000 0.000 0.000
Mg: 0.500 0.500 0.500
Ir: 0.250 0.250 0.250
Pt: 0.750 0.750 0.750

Properties
DFT formation energy: -796.0 meV/atom

---

[8]
First-principles (PBE) data for HoPuMgIr after structural relaxation, as listed in Alexandria via LeMat-Bulk.

a b c (Å): 5.002 5.002 5.002
angles (deg): 60.00 60.00 60.00
Positions (direct):
Ho: 0.000 0.000 0.000
Pu: 0.500 0.500 0.500
Mg: 0.750 0.750 0.750
Ir: 0.250 0.250 0.250

Properties
DFT formation energy: -265.8 meV/atom

---

[9]
First-principles (PBE) data for HoMgIrRh after structural relaxation, as listed in Alexandria via LeMat-Bulk.

a b c (Å): 4.633 4.633 4.633
angles (deg): 60.00 60.00 60.00
Positions (direct):
Ho: 0.000 0.000 0.000
Mg: 0.500 0.500 0.500
Ir: 0.750 0.750 0.750
Rh: 0.250 0.250 0.250

Properties
DFT formation energy: -659.7 meV/atom

---

[10]
First-principles (PBE) data for HoMgIrRu after structural relaxation, as listed in Alexandria via LeMat-Bulk.

a b c (Å): 4.621 4.621 4.621
angles (deg): 60.00 60.00 60.00
Positions (direct):
Ho: 0.000 0.000 0.000
Mg: 0.500 0.500 0.500
Ir: 0.250 0.250 0.250
Ru: 0.750 0.750 0.750

Properties
DFT formation energy: -329.0 meV/atom

---

[11]
First-principles (PBE) data for Ho2MgSi2Ir5 after structural relaxation, as listed in Alexandria via LeMat-Bulk.

a b c (Å): 9.797 9.797 3.470
angles (deg): 90.00 90.00 90.00
Positions (direct):
Ho: 0.175 0.325 0.000
Ho: 0.325 0.825 0.000
Ho: 0.675 0.175 0.000
Ho: 0.825 0.675 0.000
Mg: 0.000 0.000 0.000
Mg: 0.500 0.500 0.000
Si: 0.125 0.625 0.000
Si: 0.375 0.125 0.000
Si: 0.625 0.875 0.000
Si: 0.875 0.375 0.000
Ir: 0.000 0.500 0.500
Ir: 0.068 0.786 0.500
Ir: 0.214 0.068 0.500
Ir: 0.286 0.568 0.500
Ir: 0.432 0.286 0.500
Ir: 0.500 0.000 0.500
Ir: 0.568 0.714 0.500
Ir: 0.714 0.432 0.500
Ir: 0.786 0.932 0.500
Ir: 0.932 0.214 0.500

Properties
Energy relative to the elements, uncorrected: -8.371 eV per formula unit

---

[12]
First-principles (PBE) data for Ho2MgSi3Ir4 after structural relaxation, as listed in Alexandria via LeMat-Bulk.

a b c (Å): 4.081 4.081 10.364
angles (deg): 90.00 90.00 90.00
Positions (direct):
Ho: 0.000 0.500 0.243
Ho: 0.500 0.000 0.757
Mg: 0.000 0.000 0.500
Si: 0.000 0.500 0.874
Si: 0.500 0.000 0.126
Si: 0.500 0.500 0.500
Ir: 0.000 0.000 0.000
Ir: 0.000 0.500 0.647
Ir: 0.500 0.000 0.353
Ir: 0.500 0.500 0.000

Properties
Energy relative to the elements, uncorrected: -9.342 eV per formula unit

---

[13]
First-principles (PBE) data for SmHoMgIr after structural relaxation, as listed in Alexandria via LeMat-Bulk.

a b c (Å): 5.069 5.069 5.069
angles (deg): 60.00 60.00 60.00
Positions (direct):
Sm: 0.000 0.000 0.000
Ho: 0.500 0.500 0.500
Mg: 0.250 0.250 0.250
Ir: 0.750 0.750 0.750

Properties
DFT formation energy: -409.8 meV/atom

---

[14]
First-principles (PBE) data for HoMgTlIr after structural relaxation, as listed in Alexandria via LeMat-Bulk.

a b c (Å): 4.900 4.900 4.900
angles (deg): 60.00 60.00 60.00
Positions (direct):
Ho: 0.000 0.000 0.000
Mg: 0.500 0.500 0.500
Tl: 0.750 0.750 0.750
Ir: 0.250 0.250 0.250

Properties
DFT formation energy: -302.5 meV/atom

---

[15]
First-principles (PBE) data for YHoMgIr after structural relaxation, as listed in Alexandria via LeMat-Bulk.

a b c (Å): 5.020 5.020 5.020
angles (deg): 60.00 60.00 60.00
Positions (direct):
Y: 0.000 0.000 0.000
Ho: 0.500 0.500 0.500
Mg: 0.250 0.250 0.250
Ir: 0.750 0.750 0.750

Properties
DFT formation energy: -462.7 meV/atom

---

[16]
First-principles (PBE) data for HoMgZnIr after structural relaxation, as listed in Alexandria via LeMat-Bulk.

a b c (Å): 4.727 4.727 4.727
angles (deg): 60.00 60.00 60.00
Positions (direct):
Ho: 0.000 0.000 0.000
Mg: 0.500 0.500 0.500
Zn: 0.750 0.750 0.750
Ir: 0.250 0.250 0.250

Properties
DFT formation energy: -438.1 meV/atom

---

[17]
First-principles (PBE) data for HoMgZrIr after structural relaxation, as listed in Alexandria via LeMat-Bulk.

a b c (Å): 4.882 4.882 4.882
angles (deg): 60.00 60.00 60.00
Positions (direct):
Ho: 0.000 0.000 0.000
Mg: 0.250 0.250 0.250
Zr: 0.500 0.500 0.500
Ir: 0.750 0.750 0.750

Properties
DFT formation energy: -373.6 meV/atom

---

[18]
First-principles (PBE) data for HoMgZr2Ir4 after structural relaxation, as listed in Alexandria via LeMat-Bulk.

a b c (Å): 8.105 8.105 8.105
angles (deg): 33.36 33.36 33.36
Positions (direct):
Ho: 0.000 0.000 0.000
Mg: 0.500 0.500 0.500
Zr: 0.245 0.245 0.245
Zr: 0.755 0.755 0.755
Ir: 0.125 0.125 0.125
Ir: 0.377 0.377 0.377
Ir: 0.623 0.623 0.623
Ir: 0.875 0.875 0.875

Properties
DFT formation energy: -745.2 meV/atom

---

[19]
First-principles (PBE) data for Ho2MnIr3 after structural relaxation, as listed in Alexandria via LeMat-Bulk.

a b c (Å): 5.449 5.449 8.249
angles (deg): 90.00 90.00 120.00
Positions (direct):
Ho: 0.333 0.667 0.064
Ho: 0.333 0.667 0.436
Ho: 0.667 0.333 0.564
Ho: 0.667 0.333 0.936
Mn: 0.000 0.000 0.000
Mn: 0.000 0.000 0.500
Ir: 0.169 0.338 0.750
Ir: 0.169 0.831 0.750
Ir: 0.338 0.169 0.250
Ir: 0.662 0.831 0.750
Ir: 0.831 0.169 0.250
Ir: 0.831 0.662 0.250

Properties
DFT formation energy: -731.8 meV/atom

---

[20]
First-principles (PBE) data for Ho3MnIr8 after structural relaxation, as listed in Alexandria via LeMat-Bulk.

a b c (Å): 9.189 9.189 9.189
angles (deg): 33.60 33.60 33.60
Positions (direct):
Ho: 0.000 0.000 0.000
Ho: 0.128 0.128 0.128
Ho: 0.509 0.509 0.509
Mn: 0.633 0.633 0.633
Ir: 0.064 0.565 0.565
Ir: 0.066 0.066 0.567
Ir: 0.066 0.567 0.066
Ir: 0.315 0.315 0.315
Ir: 0.565 0.064 0.565
Ir: 0.565 0.565 0.064
Ir: 0.567 0.066 0.066
Ir: 0.816 0.816 0.816

Properties
DFT formation energy: -586.0 meV/atom